No. 1
First-principles (PBE-GGA) data for an optimized crystal structure of RbGdTe3Pd, as listed in the Open Quantum Materials Database.

Cell and atoms, written as POSCAR:
```
RbGdTe3Pd
1.0
2.229 -9.068 0.000
2.229 9.068 0.000
0.000 0.000 10.196
Rb Gd Te Pd
2 2 6 2
Cartesian
2.229 4.584 7.647
2.229 -4.584 2.549
0.000 0.000 0.000
0.000 0.000 5.098
2.229 7.347 2.549
2.229 2.020 0.893
2.229 2.020 4.206
2.229 -2.020 5.991
2.229 -2.020 9.304
2.229 -7.347 7.647
2.229 0.083 7.647
2.229 -0.083 2.549
```

- Magnetic moment: 0.0 μB/f.u.


No. 2
First-principles (PBE-GGA) data for an optimized crystal structure of GdSb2Pd3, as listed in the Open Quantum Materials Database.

Cell and atoms, written as POSCAR:
```
GdSb2Pd3
1.0
8.755 -2.145 0.000
8.755 2.145 0.000
-3.097 0.000 9.845
Gd Sb Pd
3 6 9
Cartesian
0.000 0.000 0.000
0.565 0.000 6.911
13.848 0.000 2.934
3.029 0.000 1.271
4.638 0.000 5.358
7.382 0.000 2.106
7.031 0.000 7.739
9.774 0.000 4.487
11.383 0.000 8.574
-0.309 0.000 3.284
2.560 0.000 3.847
5.478 0.000 0.333
4.254 0.000 8.011
7.206 0.000 4.923
10.158 0.000 1.834
8.934 0.000 9.512
11.853 0.000 5.998
14.722 0.000 6.561
```

- Magnetic moment: 0.0 μB/f.u.


No. 3
First-principles (PBE-GGA) data for an optimized crystal structure of GdSb2Pd2, as listed in the Open Quantum Materials Database.

Cell and atoms, written as POSCAR:
```
GdSb2Pd2
1.0
4.546 0.000 0.000
0.000 4.546 0.000
0.000 0.000 10.858
Gd Sb Pd
2 4 4
Cartesian
1.137 1.137 2.489
3.410 3.410 8.369
1.137 1.137 9.457
1.137 3.410 5.429
3.410 1.137 5.429
3.410 3.410 1.401
1.137 1.137 6.902
1.137 3.410 0.000
3.410 1.137 0.000
3.410 3.410 3.955
```

- Magnetic moment: 0.0 μB/f.u.


No. 4
First-principles (PBE-GGA) data for an optimized crystal structure of Gd7Pd2Se2, as listed in the Open Quantum Materials Database.

Cell and atoms, written as POSCAR:
```
Gd7Pd2Se2
1.0
-1.957 7.768 4.729
1.957 -7.768 4.729
1.957 7.768 -4.729
Gd Pd Se
7 2 2
Cartesian
0.000 0.000 0.000
1.957 5.902 -0.863
1.957 2.807 1.095
0.000 1.866 3.866
0.000 5.657 2.364
0.000 9.879 2.364
0.000 4.961 5.825
1.957 -4.055 3.954
1.957 4.055 3.954
1.957 0.000 2.412
0.000 0.000 6.247
```

- Magnetic moment: 0.0 μB/f.u.


No. 5
First-principles (PBE-GGA) data for an optimized crystal structure of GdSiPd, as listed in the Open Quantum Materials Database.

Cell and atoms, written as POSCAR:
```
GdSiPd
1.0
4.350 0.000 0.000
0.000 14.106 0.000
0.000 0.000 7.481
Gd Si Pd
8 8 8
Cartesian
1.088 0.029 1.559
1.088 3.527 2.249
1.088 7.024 1.559
1.088 10.580 2.192
3.263 3.527 5.290
3.263 7.082 5.922
3.263 10.580 5.232
3.263 14.077 5.922
1.088 1.456 4.426
1.088 5.598 4.426
1.088 9.287 6.805
1.088 11.872 6.805
3.263 2.234 0.677
3.263 4.819 0.677
3.263 8.509 3.055
3.263 12.651 3.055
1.088 2.003 6.904
1.088 5.050 6.904
1.088 8.376 4.354
1.088 12.783 4.354
3.263 1.323 3.127
3.263 5.730 3.127
3.263 9.057 0.577
3.263 12.103 0.577
```

- Magnetic moment: 0.0 μB/f.u.


No. 6
First-principles (PBE-GGA) data for an optimized crystal structure of GdSi2Pd, as listed in the Open Quantum Materials Database.

Cell and atoms, written as POSCAR:
```
GdSi2Pd
1.0
3.800 0.000 0.000
0.000 5.164 0.000
0.000 0.000 7.756
Gd Si Pd
2 4 2
Cartesian
0.000 0.003 0.000
0.000 5.162 3.878
0.000 2.449 5.806
0.000 2.715 1.928
1.900 1.089 1.938
1.900 4.076 5.816
1.900 2.578 7.752
1.900 2.586 3.874
```

- Magnetic moment: 0.0 μB/f.u.


No. 7
First-principles (PBE-GGA) data for an optimized crystal structure of Gd6SiPd2, as listed in the Open Quantum Materials Database.

Cell and atoms, written as POSCAR:
```
Gd6SiPd2
1.0
7.872 0.000 0.000
-3.936 6.817 0.000
0.000 0.000 4.302
Gd Si Pd
6 1 2
Cartesian
-1.031 1.786 0.000
-2.373 4.111 2.151
2.063 0.000 0.000
1.562 2.706 2.151
4.747 0.000 2.151
2.904 5.031 0.000
0.000 0.000 2.151
0.000 4.545 0.000
3.936 2.272 0.000
```

- Magnetic moment: 0.1 μB/f.u.


No. 8
First-principles (PBE-GGA) data for an optimized crystal structure of Gd3Si4Pd, as listed in the Open Quantum Materials Database.

Cell and atoms, written as POSCAR:
```
Gd3Si4Pd
1.0
5.757 0.000 0.000
0.000 3.828 0.000
-0.920 0.000 7.501
Gd Si Pd
3 4 1
Cartesian
0.000 0.000 0.000
0.684 0.000 3.573
3.519 1.914 4.712
0.534 1.914 5.795
2.008 0.000 6.363
3.436 0.000 2.322
4.909 1.914 2.032
2.930 1.914 0.522
```

- Magnetic moment: 0.0 μB/f.u.


No. 9
First-principles (PBE-GGA) data for an optimized crystal structure of GdSi2Pd, as listed in the Open Quantum Materials Database.

Cell and atoms, written as POSCAR:
```
GdSi2Pd
1.0
4.158 0.000 0.000
0.000 4.169 0.000
-2.047 0.000 8.417
Gd Si Pd
2 4 2
Cartesian
0.007 1.042 1.721
2.103 3.127 6.696
0.007 3.127 4.219
0.034 1.042 7.837
2.076 3.127 0.580
2.104 1.042 4.198
0.026 1.042 5.459
2.085 3.127 2.958
```

- Magnetic moment: 0.0 μB/f.u.


No. 10
First-principles (PBE-GGA) data for an optimized crystal structure of GdSi2Pd, as listed in the Open Quantum Materials Database.

Cell and atoms, written as POSCAR:
```
GdSi2Pd
1.0
4.073 0.000 0.000
0.000 6.182 0.000
0.000 0.000 5.655
Gd Si Pd
2 4 2
Cartesian
0.000 0.578 0.000
2.037 5.604 2.827
0.000 1.600 2.837
0.000 3.998 4.173
2.037 2.185 1.345
2.037 4.582 0.010
0.000 3.679 1.226
2.037 2.503 4.053
```

- Magnetic moment: 0.0 μB/f.u.


No. 11
First-principles (PBE-GGA) data for an optimized crystal structure of SmGd2Si4Pd4, as listed in the Open Quantum Materials Database.

Cell and atoms, written as POSCAR:
```
SmGd2Si4Pd4
1.0
-2.033 2.106 12.221
2.033 -2.106 12.221
2.033 2.106 -12.221
Sm Gd Si Pd
1 2 4 4
Cartesian
0.000 0.000 0.000
2.033 0.000 8.642
0.000 2.106 3.579
2.033 0.000 4.759
0.000 0.000 11.034
0.000 0.000 13.407
0.000 2.106 7.462
2.033 0.000 2.370
0.000 0.000 6.097
0.000 0.000 18.345
0.000 2.106 9.851
```

- Magnetic moment: 0.0 μB/f.u.


| no. | VASP energy (eV per atom) |
| --- | --- |
| 1 | -4.35 |
| 2 | -5.49 |
| 3 | -5.40 |
| 4 | -5.49 |
| 5 | -6.08 |
| 6 | -5.79 |
| 7 | -5.37 |
| 8 | -5.79 |
| 9 | -6.00 |
| 10 | -5.85 |
| 11 | -6.08 |